Crystalline ThGa2PdRh2 at its relaxed geometry. Source: the Alexandria database, functional PBE.

```
ThGa2PdRh2
1.0
4.597 0.000 0.000
0.000 4.597 0.000
0.000 0.000 5.606
Ga Pd Th Rh
2 1 1 2
Direct
0.500 0.000 0.000
0.000 0.500 0.000
0.000 0.000 0.000
0.000 0.000 0.500
0.500 0.500 0.740
0.500 0.500 0.260
```

* E_form: -0.29 eV per atom
* space-group type: P4/mmm, No. 123
* total DFT energy (no corrections): -35.1 eV for the cell shown

Crystalline ThGa3PdRh at its relaxed geometry. Source: the Alexandria database, functional PBE.

```
ThGa3PdRh
1.0
5.695 0.000 0.000
0.000 5.967 0.000
0.000 -2.984 6.628
Pd Ga Th Rh
2 6 2 2
Direct
0.250 0.160 0.320
0.750 0.840 0.680
0.250 0.365 0.731
0.500 0.786 0.000
0.000 0.786 0.000
0.000 0.214 0.000
0.500 0.214 0.000
0.750 0.635 0.269
0.750 0.210 0.421
0.250 0.790 0.579
0.750 0.404 0.807
0.250 0.596 0.193
```

* E_form: -0.56 eV per atom
* space-group type: Cmcm, No. 63
* total DFT energy (no corrections): -64.9 eV for the cell shown

Crystalline Th2Ga4PdRh3 at its relaxed geometry. Source: the Alexandria database, functional PBE.

```
Th2Ga4PdRh3
1.0
4.234 0.000 0.000
0.000 4.234 0.000
0.000 0.000 10.498
Pd Ga Rh Th
1 4 3 2
Direct
0.500 0.500 0.500
0.000 0.500 0.371
0.500 0.500 0.000
0.000 0.000 0.000
0.500 0.000 0.629
0.500 0.000 0.864
0.000 0.500 0.136
0.000 0.000 0.500
0.500 0.000 0.245
0.000 0.500 0.755
```

* E_form: -0.79 eV per atom
* space-group type: P-4m2, No. 115
* total DFT energy (no corrections): -62.1 eV for the cell shown

Crystalline ThGa2Pd2Rh at its relaxed geometry. Source: the Alexandria database, functional PBE.

```
ThGa2Pd2Rh
1.0
4.708 0.000 0.000
0.000 4.708 0.000
0.000 0.000 5.441
Pd Ga Rh Th
2 2 1 1
Direct
0.500 0.500 0.743
0.500 0.500 0.257
0.500 0.000 0.000
0.000 0.500 0.000
0.000 0.000 0.000
0.000 0.000 0.500
```

* E_form: -0.54 eV per atom
* space-group type: P4/mmm, No. 123
* total DFT energy (no corrections): -34.5 eV for the cell shown

Crystalline TiGaPdRh at its relaxed geometry. Source: the Alexandria database, functional PBE.

```
TiGaPdRh
1.0
4.382 0.000 0.000
2.191 3.795 0.000
2.191 1.265 3.578
Ti Rh Pd Ga
1 1 1 1
Direct
0.750 0.750 0.750
0.000 0.000 0.000
0.500 0.500 0.500
0.250 0.250 0.250
```

* E_form: -0.72 eV per atom
* space-group type: F-43m, No. 216
* total DFT energy (no corrections): -26.3 eV for the cell shown

Crystalline TiGaPdRh at its relaxed geometry. Source: the Alexandria database, functional PBE.

```
TiGaPdRh
1.0
-3.230 1.921 -1.422
-2.211 -3.309 0.554
1.898 1.809 3.810
Ti Ga Pd Rh
1 1 1 1
Direct
0.000 0.000 0.000
0.500 0.500 0.000
0.250 0.750 0.500
0.750 0.250 0.500
```

* E_form: -0.76 eV per atom
* space-group type: I-4m2, No. 119
* total DFT energy (no corrections): -26.5 eV for the cell shown

Crystalline Ti5GaPd2Rh2 at its relaxed geometry. Source: the Alexandria database, functional PBE.

```
Ti5GaPd2Rh2
1.0
-0.685 2.740 0.870
-7.005 0.781 -7.969
-7.619 -3.909 6.314
Pd Ga Ti Rh
4 2 10 4
Direct
0.000 0.345 0.845
0.000 0.155 0.345
0.000 0.655 0.155
0.000 0.845 0.655
0.000 0.000 0.000
0.000 0.500 0.500
0.500 0.164 0.127
0.500 0.873 0.164
0.500 0.836 0.873
0.500 0.336 0.627
0.500 0.500 0.000
0.500 0.373 0.336
0.500 0.664 0.373
0.500 0.127 0.836
0.500 0.627 0.664
0.500 0.000 0.500
0.000 0.358 0.142
0.000 0.858 0.358
0.000 0.142 0.642
0.000 0.642 0.858
```

* E_form: -0.38 eV per atom
* space-group type: P4/mbm, No. 127
* total DFT energy (no corrections): -142.8 eV for the cell shown

Crystalline YGaPdRh2 at its relaxed geometry. Source: the Alexandria database, functional PBE.

```
YGaPdRh2
1.0
-1.466 -3.248 2.758
2.125 -3.599 -3.109
3.844 0.250 2.338
Rh Y Pd Ga
2 1 1 1
Direct
0.000 0.000 0.500
0.500 0.000 0.000
0.000 0.500 0.000
0.500 0.500 0.500
0.000 0.000 0.000
```

* E_form: 0.28 eV per atom
* space-group type: P4/mmm, No. 123
* total DFT energy (no corrections): -28.0 eV for the cell shown

Crystalline YGa3PdRh at its relaxed geometry. Source: the Alexandria database, functional PBE.

```
YGa3PdRh
1.0
5.281 0.000 0.000
0.000 8.272 0.000
0.000 -4.136 5.488
Y Ga Rh Pd
2 6 2 2
Direct
0.250 0.695 0.390
0.750 0.305 0.610
0.500 0.750 0.000
0.500 0.250 0.000
0.000 0.750 0.000
0.750 0.829 0.658
0.250 0.171 0.342
0.000 0.250 0.000
0.250 0.935 0.870
0.750 0.065 0.130
0.750 0.585 0.169
0.250 0.415 0.831
```

* E_form: -0.51 eV per atom
* space-group type: Cmcm, No. 63
* total DFT energy (no corrections): -62.4 eV for the cell shown

Crystalline YGa4PdRh2 at its relaxed geometry. Source: the Alexandria database, functional PBE.

```
YGa4PdRh2
1.0
-2.700 -3.230 0.691
0.852 -3.868 -1.584
3.625 -4.373 6.888
Ga Y Rh Pd
4 1 2 1
Direct
0.602 0.602 0.193
0.129 0.129 0.613
0.398 0.398 0.807
0.871 0.871 0.387
0.000 0.000 0.000
0.766 0.766 0.703
0.234 0.234 0.297
0.500 0.500 0.500
```

* E_form: -0.66 eV per atom
* space-group type: R-3m, No. 166
* total DFT energy (no corrections): -43.8 eV for the cell shown

Crystalline Y2Ga4Pd3Rh at its relaxed geometry. Source: the Alexandria database, functional PBE.

```
Y2Ga4Pd3Rh
1.0
4.184 0.000 0.000
0.000 4.184 0.000
0.000 0.000 10.603
Pd Y Ga Rh
3 2 4 1
Direct
0.500 0.000 0.862
0.000 0.000 0.500
0.000 0.500 0.138
0.500 0.000 0.256
0.000 0.500 0.744
0.000 0.500 0.371
0.000 0.000 0.000
0.500 0.500 0.000
0.500 0.000 0.629
0.500 0.500 0.500
```

* E_form: -0.80 eV per atom
* space-group type: P-4m2, No. 115
* total DFT energy (no corrections): -56.0 eV for the cell shown

Crystalline ZnGaPdRh at its relaxed geometry. Source: the Alexandria database, functional PBE.

```
ZnGaPdRh
1.0
4.316 0.000 0.000
2.158 3.737 0.000
2.158 1.246 3.524
Rh Pd Zn Ga
1 1 1 1
Direct
0.500 0.500 0.500
0.000 0.000 0.000
0.750 0.750 0.750
0.250 0.250 0.250
```

* E_form: -0.58 eV per atom
* space-group type: F-43m, No. 216
* total DFT energy (no corrections): -19.1 eV for the cell shown

Copy entry 2 word for word.
Crystalline ThGa3PdRh at its relaxed geometry. Source: the Alexandria database, functional PBE.

```
ThGa3PdRh
1.0
5.695 0.000 0.000
0.000 5.967 0.000
0.000 -2.984 6.628
Pd Ga Th Rh
2 6 2 2
Direct
0.250 0.160 0.320
0.750 0.840 0.680
0.250 0.365 0.731
0.500 0.786 0.000
0.000 0.786 0.000
0.000 0.214 0.000
0.500 0.214 0.000
0.750 0.635 0.269
0.750 0.210 0.421
0.250 0.790 0.579
0.750 0.404 0.807
0.250 0.596 0.193
```

* E_form: -0.56 eV per atom
* space-group type: Cmcm, No. 63
* total DFT energy (no corrections): -64.9 eV for the cell shown